# 1
Computed, not measured: an optimized crystal structure of Pr7Ag2N2 at the GGA-PBE level of DFT.

Unit cell a=11.552 b=7.573 c=6.677 alpha=90.00 beta=95.20 gamma=90.00
Space group C2/m (No. 12)
Asymmetric unit:
Pr 0.000 0.000 0.000 x2
Pr 0.064 0.500 0.786 x4
Pr 0.224 0.275 0.235 x8
Ag 0.000 0.179 0.500 x4
N 0.229 0.000 0.026 x4

Values from the calculation:
Density of states at the Fermi level in states/eV/atom: 0.9850
E_form (uncorrected) in eV/f.u.: -4.231

=====

# 2
Computed, not measured: an optimized crystal structure of Pr6AgN3 at the GGA-PBE level of DFT.

Unit cell a=11.662 b=3.714 c=12.313 alpha=90.00 beta=106.45 gamma=90.00
Space group P2_1/m (No. 11)
Asymmetric unit:
Pr 0.096 0.250 0.302 x2
Pr 0.116 0.250 0.588 x2
Pr 0.124 0.750 0.039 x2
Pr 0.365 0.750 0.490 x2
Pr 0.379 0.750 0.909 x2
Pr 0.394 0.250 0.206 x2
Ag 0.128 0.250 0.845 x2
N 0.116 0.750 0.448 x2
N 0.418 0.250 0.402 x2
N 0.482 0.750 0.108 x2

Values from the calculation:
Density of states at the Fermi level in states/eV/atom: 0.6630
ΔE to the lowest computed polymorph in meV/atom: 40
E_form (uncorrected) in eV/f.u.: -6.835

=====

# 3
Computed, not measured: an optimized crystal structure of Pr6AgN at the GGA-PBE level of DFT.

Unit cell a=6.696 b=6.704 c=7.506 alpha=63.58 beta=63.71 gamma=60.10
Space group P-1 (No. 2)
Asymmetric unit:
Pr 0.046 0.397 0.276 x2
Pr 0.220 0.954 0.724 x2
Pr 0.396 0.780 0.277 x2
Ag 0.500 0.500 0.000 x1
N 0.000 0.000 0.500 x1

Values from the calculation:
Density of states at the Fermi level in states/eV/atom: 0.9342
E_form (uncorrected) in eV/f.u.: -2.176

=====

# 4
Computed, not measured: an optimized crystal structure of Pr4Ag2N at the GGA-PBE level of DFT.

Unit cell a=5.067 b=5.067 c=15.010 alpha=90.00 beta=90.00 gamma=90.00
Space group I4/mmm (No. 139)
Asymmetric unit:
Pr 0.000 0.000 0.172 x4
Pr 0.000 0.500 0.000 x4
Ag 0.000 0.000 0.372 x4
N 0.000 0.000 0.000 x2

Values from the calculation:
Density of states at the Fermi level in states/eV/atom: 1.1973
ΔE to the lowest computed polymorph in meV/atom: 0
E_form (uncorrected) in eV/f.u.: -3.040

=====

# 5
Computed, not measured: an optimized crystal structure of PrSm2AgN at the GGA-PBE level of DFT.

Unit cell a=4.912 b=4.912 c=5.093 alpha=90.00 beta=90.00 gamma=90.00
Space group P4/mmm (No. 123)
Asymmetric unit:
Pr 0.000 0.000 0.000 x1
Sm 0.000 0.500 0.500 x2
Ag 0.500 0.500 0.000 x1
N 0.000 0.000 0.500 x1

Values from the calculation:
Density of states at the Fermi level in states/eV/atom: 0.9618
E_form (uncorrected) in eV/f.u.: -3.052

=====

# 6
Computed, not measured: an optimized crystal structure of AgPt2N2 at the GGA-PBE level of DFT.

Unit cell a=6.567 b=6.567 c=3.718 alpha=90.00 beta=90.00 gamma=90.00
Space group P4/mbm (No. 127)
Asymmetric unit:
Ag 0.000 0.000 0.000 x2
Pt 0.142 0.358 0.500 x4
N 0.158 0.342 0.000 x4

Values from the calculation:
Density of states at the Fermi level in states/eV/atom: 0.5138
ΔE to the lowest computed polymorph in meV/atom: 0
E_form (uncorrected) in eV/f.u.: 3.838

=====

# 7
Computed, not measured: an optimized crystal structure of Ag3PtN at the GGA-PBE level of DFT.

Unit cell a=5.195 b=5.195 c=5.195 alpha=90.00 beta=90.00 gamma=90.00
Space group Pm-3m (No. 221)
Asymmetric unit:
Ag 0.000 0.000 0.500 x3
Pt 0.000 0.000 0.000 x1
N 0.500 0.500 0.500 x1

Values from the calculation:
Density of states at the Fermi level in states/eV/atom: 0.3663
ΔE to the lowest computed polymorph in meV/atom: 1043
E_form (uncorrected) in eV/f.u.: 8.636

=====

# 8
Computed, not measured: an optimized crystal structure of AgPtN2 at the GGA-PBE level of DFT.

Unit cell a=5.667 b=5.667 c=5.667 alpha=90.00 beta=90.00 gamma=90.00
Space group Fm-3m (No. 225)
Asymmetric unit:
Ag 0.000 0.000 0.000 x4
Pt 0.000 0.000 0.500 x4
N 0.250 0.250 0.250 x8

Values from the calculation:
Density of states at the Fermi level in states/eV/atom: 0.5136
ΔE to the lowest computed polymorph in meV/atom: 858
E_form (uncorrected) in eV/f.u.: 6.914

=====

# 9
Computed, not measured: an optimized crystal structure of AgPtN3 at the GGA-PBE level of DFT.

Unit cell a=3.989 b=3.989 c=3.989 alpha=90.00 beta=90.00 gamma=90.00
Space group Pm-3m (No. 221)
Asymmetric unit:
Ag 0.000 0.000 0.000 x1
Pt 0.500 0.500 0.500 x1
N 0.000 0.000 0.500 x3

Values from the calculation:
Density of states at the Fermi level in states/eV/atom: 0.8923
E_form (uncorrected) in eV/f.u.: 14.376

=====

# 10
Computed, not measured: an optimized crystal structure of AgPtN2 at the GGA-PBE level of DFT.

Unit cell a=3.1586 b=3.1586 c=18.5999 alpha=90.00 beta=90.00 gamma=120.00
Space group R-3m (No. 166, hexagonal axes)
Asymmetric unit:
Ag 0.0000 0.0000 0.0000 x3
Pt 0.0000 0.0000 0.5000 x3
N 0.0000 0.0000 0.1129 x6

Values from the calculation:
Density of states at the Fermi level in states/eV/atom: 1.1797
ΔE to the lowest computed polymorph in meV/atom: 0
E_form (uncorrected) in eV/f.u.: 3.483

=====

# 11
Computed, not measured: an optimized crystal structure of AgPt3N at the GGA-PBE level of DFT.

Unit cell a=4.209 b=4.209 c=4.209 alpha=90.00 beta=90.00 gamma=90.00
Space group Pm-3m (No. 221)
Asymmetric unit:
Ag 0.000 0.000 0.000 x1
Pt 0.000 0.500 0.500 x3
N 0.500 0.500 0.500 x1

Values from the calculation:
Density of states at the Fermi level in states/eV/atom: 0.8370
ΔE to the lowest computed polymorph in meV/atom: 0
E_form (uncorrected) in eV/f.u.: 2.263

=====

# 12
Computed, not measured: an optimized crystal structure of AgPtN2 at the GGA-PBE level of DFT.

Unit cell a=5.058 b=5.058 c=9.176 alpha=90.00 beta=90.00 gamma=90.00
Space group I-42d (No. 122)
Asymmetric unit:
Ag 0.000 0.000 0.000 x4
Pt 0.000 0.000 0.500 x4
N 0.199 0.250 0.625 x8

Values from the calculation:
Density of states at the Fermi level in states/eV/atom: 0.5586
ΔE to the lowest computed polymorph in meV/atom: 330
E_form (uncorrected) in eV/f.u.: 4.805

=====

What is the density of states at the Fermi level in the sixth record? 0.5138 states/eV/atom

=====

E_form (uncorrected) of number 5 (PrSm2AgN)? -3.052 eV/f.u.

=====

Copy entry 1 word for word.
Computed, not measured: an optimized crystal structure of Pr7Ag2N2 at the GGA-PBE level of DFT.

Unit cell a=11.552 b=7.573 c=6.677 alpha=90.00 beta=95.20 gamma=90.00
Space group C2/m (No. 12)
Asymmetric unit:
Pr 0.000 0.000 0.000 x2
Pr 0.064 0.500 0.786 x4
Pr 0.224 0.275 0.235 x8
Ag 0.000 0.179 0.500 x4
N 0.229 0.000 0.026 x4

Values from the calculation:
Density of states at the Fermi level in states/eV/atom: 0.9850
E_form (uncorrected) in eV/f.u.: -4.231